{"formula": "Na2GeF5", "functional": "PBE", "state": "optimized geometry", "cell": [[0.6269, -5.3729, -2.5923], [3.3306, -3.0829, 4.5701], [-5.8703, 4.6892, 1.2041]], "species": ["Na", "Na", "Ge", "F", "F", "F", "F", "F"], "frac_coords": [[0.2063, 0.6124, 0.2093], [0.3796, 0.8349, 0.8494], [0.1070, 0.0886, 0.1558], [0.0556, 0.4374, 0.3300], [0.2278, 0.1888, 0.0278], [0.9561, 0.9395, 0.2326], [0.1885, 0.7547, 0.9893], [0.6560, 0.9207, 0.7598]], "sg": "No. 1", "dos_ef_per_ev_cell": 0.981, "dft_energy_ry_per_atom": -0.33150, "e_form_raw_kj_per_mol_atoms": -235}